(1)
! Ca2Ac3ErTe6 PBE optimized geometry; values from VASP
&SYSTEM
  ibrav = 0, nat = 12, ntyp = 4
/
ATOMIC_SPECIES
Ca 40.08 Ca.upf
Ac 227.00 Ac.upf
Er 167.26 Er.upf
Te 127.60 Te.upf
ATOMIC_POSITIONS angstrom
Ca 3.914 4.536 0.000
Ca 3.914 -4.536 0.000
Ac -1.307 0.000 3.854
Ac 2.607 2.340 3.854
Ac 2.607 -2.340 3.854
Er 3.914 0.000 0.000
Te 0.022 2.219 5.985
Te 1.357 0.000 1.785
Te 0.022 -2.219 5.985
Te 5.192 2.219 1.722
Te 3.857 0.000 5.922
Te 5.192 -2.219 1.722
CELL_PARAMETERS angstrom
3.914 -6.787 0.000
3.914 6.787 0.000
-2.614 0.000 7.707
! **Formation energy without anion corrections**: -1476 meV per atom



(2)
! Mg2TlBr PBE optimized geometry; values from VASP
&SYSTEM
  ibrav = 0, nat = 16, ntyp = 3
/
ATOMIC_SPECIES
Mg 24.30 Mg.upf
Tl 204.38 Tl.upf
Br 79.90 Br.upf
ATOMIC_POSITIONS angstrom
Mg 0.000 0.000 0.000
Mg 0.000 3.904 3.904
Mg 1.952 1.952 1.952
Mg 1.952 5.856 5.856
Mg 3.904 0.000 3.904
Mg 3.904 3.904 0.000
Mg 5.856 1.952 5.856
Mg 5.856 5.856 1.952
Tl 0.000 0.000 3.904
Tl 0.000 3.904 0.000
Tl 3.904 0.000 0.000
Tl 3.904 3.904 3.904
Br 1.952 1.952 5.856
Br 1.952 5.856 1.952
Br 5.856 1.952 1.952
Br 5.856 5.856 5.856
CELL_PARAMETERS angstrom
7.809 0.000 0.000
0.000 7.809 0.000
0.000 0.000 7.809
! **Formation energy without anion corrections**: -58 meV per atom
! **Offset from the most stable computed form**: 307 meV per atom



(3)
! NiTe2Ir PBE optimized geometry; values from VASP
&SYSTEM
  ibrav = 0, nat = 8, ntyp = 3
/
ATOMIC_SPECIES
Ni 58.69 Ni.upf
Te 127.60 Te.upf
Ir 192.22 Ir.upf
ATOMIC_POSITIONS angstrom
Ni 0.000 0.000 0.000
Ni 0.000 2.441 3.682
Te 0.000 0.000 4.720
Te 0.000 2.441 1.038
Te 2.389 0.000 1.158
Te 2.389 2.441 4.840
Ir 2.389 0.000 5.923
Ir 2.389 2.441 2.241
CELL_PARAMETERS angstrom
4.779 0.000 0.000
0.000 4.881 0.000
0.000 0.000 7.364
! **Formation energy without anion corrections**: -18 meV per atom
! **Offset from the most stable computed form**: 60 meV per atom